(1)
# NiWIO2 (GGA+U, optimized geometry)
# Space group ... P4/mmm, No. 123
# E_tot ... -4.99 eV/atom
# N(E_F) ... 0.121 states/eV/atom
# Total moment ... 2.950 μB per cell
# Energy above the most stable polymorph in this dataset ... 0 meV per atom
data_NiWIO2
_chemical_formula_sum 'Ni1 W1 I1 O2'
_symmetry_space_group_name_H-M 'P 1'
_symmetry_Int_Tables_number 1
_symmetry_space_group_name_Hall 'P 1'
_cell_length_a 3.880
_cell_length_b 3.880
_cell_length_c 7.379
_cell_angle_alpha 90.00
_cell_angle_beta 90.00
_cell_angle_gamma 90.00
loop_
_atom_site_label
_atom_site_type_symbol
_atom_site_fract_x
_atom_site_fract_y
_atom_site_fract_z
O1 O 0.000 0.500 0.000
O2 O 0.500 0.000 0.000
I1 I 0.000 0.000 0.500
W1 W 0.000 0.000 0.000
Ni1 Ni 0.500 0.500 0.500

(2)
# YNiI2O (GGA+U, optimized geometry)
# Space group ... P4/mmm, No. 123
# E_tot ... -4.26 eV/atom
# N(E_F) ... 0.234 states/eV/atom
# Total moment ... 1.029 μB per cell
# Energy above the most stable polymorph in this dataset ... 0 meV per atom
data_YNiI2O
_chemical_formula_sum 'Y1 Ni1 I2 O1'
_symmetry_space_group_name_H-M 'P 1'
_symmetry_Int_Tables_number 1
_symmetry_space_group_name_Hall 'P 1'
_cell_length_a 6.155
_cell_length_b 6.155
_cell_length_c 4.165
_cell_angle_alpha 90.00
_cell_angle_beta 90.00
_cell_angle_gamma 90.00
loop_
_atom_site_label
_atom_site_type_symbol
_atom_site_fract_x
_atom_site_fract_y
_atom_site_fract_z
Y1 Y 0.000 0.000 0.000
O1 O 0.000 0.000 0.500
Ni1 Ni 0.500 0.500 0.500
I1 I 0.500 0.000 0.000
I2 I 0.000 0.500 0.000

(3)
# YNiI2O (GGA+U, optimized geometry)
# Space group ... P4/mmm, No. 123
# E_tot ... -3.86 eV/atom
# N(E_F) ... 0.351 states/eV/atom
# Total moment ... 1.897 μB per cell
# Energy above the most stable polymorph in this dataset ... 403 meV per atom
data_YNiI2O
_chemical_formula_sum 'Y1 Ni1 I2 O1'
_symmetry_space_group_name_H-M 'P 1'
_symmetry_Int_Tables_number 1
_symmetry_space_group_name_Hall 'P 1'
_cell_length_a 5.713
_cell_length_b 5.713
_cell_length_c 3.661
_cell_angle_alpha 90.00
_cell_angle_beta 90.00
_cell_angle_gamma 90.00
loop_
_atom_site_label
_atom_site_type_symbol
_atom_site_fract_x
_atom_site_fract_y
_atom_site_fract_z
I1 I 0.000 0.500 0.000
I2 I 0.500 0.000 0.000
O1 O 0.000 0.000 0.500
Y1 Y 0.500 0.500 0.500
Ni1 Ni 0.000 0.000 0.000

(4)
# Zn2NiIO6 (GGA+U, optimized geometry)
# Space group ... C2/c, No. 15
# E_tot ... -4.51 eV/atom
# N(E_F) ... 0.370 states/eV/atom
# Total moment ... 4.578 μB per cell
data_Zn2NiIO6
_chemical_formula_sum 'Zn4 Ni2 I2 O12'
_symmetry_space_group_name_H-M 'P 1'
_symmetry_Int_Tables_number 1
_symmetry_space_group_name_Hall 'P 1'
_cell_length_a 5.396
_cell_length_b 6.765
_cell_length_c 6.765
_cell_angle_alpha 85.20
_cell_angle_beta 83.93
_cell_angle_gamma 83.93
loop_
_atom_site_label
_atom_site_type_symbol
_atom_site_fract_x
_atom_site_fract_y
_atom_site_fract_z
O1 O 0.409 0.863 0.350
O2 O 0.637 0.462 0.279
O3 O 0.591 0.137 0.650
O4 O 0.620 0.800 0.985
O5 O 0.091 0.650 0.137
O6 O 0.137 0.279 0.462
O7 O 0.909 0.350 0.863
O8 O 0.380 0.200 0.015
O9 O 0.363 0.538 0.721
O10 O 0.120 0.985 0.800
O11 O 0.863 0.721 0.538
O12 O 0.880 0.015 0.200
Zn1 Zn 0.200 0.789 0.593
Zn2 Zn 0.700 0.593 0.789
Zn3 Zn 0.800 0.211 0.407
Zn4 Zn 0.300 0.407 0.211
Ni1 Ni 0.250 0.915 0.085
Ni2 Ni 0.750 0.085 0.915
I1 I 0.250 0.264 0.736
I2 I 0.750 0.736 0.264

(5)
# ZrNiIO6 (GGA+U, optimized geometry)
# Space group ... P-31c, No. 163
# E_tot ... -5.98 eV/atom
# N(E_F) ... 0.264 states/eV/atom
# Total moment ... 2.042 μB per cell
data_ZrNiIO6
_chemical_formula_sum 'Zr2 Ni2 I2 O12'
_symmetry_space_group_name_H-M 'P 1'
_symmetry_Int_Tables_number 1
_symmetry_space_group_name_Hall 'P 1'
_cell_length_a 5.392
_cell_length_b 5.392
_cell_length_c 8.949
_cell_angle_alpha 90.00
_cell_angle_beta 90.00
_cell_angle_gamma 120.00
loop_
_atom_site_label
_atom_site_type_symbol
_atom_site_fract_x
_atom_site_fract_y
_atom_site_fract_z
I1 I 0.333 0.667 0.750
I2 I 0.667 0.333 0.250
Ni1 Ni 0.000 0.000 0.000
Ni2 Ni 0.000 0.000 0.500
O1 O 0.648 0.664 0.629
O2 O 0.352 0.016 0.129
O3 O 0.016 0.664 0.871
O4 O 0.664 0.016 0.371
O5 O 0.016 0.352 0.629
O6 O 0.664 0.648 0.129
O7 O 0.984 0.648 0.371
O8 O 0.336 0.984 0.629
O9 O 0.352 0.336 0.371
O10 O 0.336 0.352 0.871
O11 O 0.984 0.336 0.129
O12 O 0.648 0.984 0.871
Zr1 Zr 0.333 0.667 0.250
Zr2 Zr 0.667 0.333 0.750

(6)
# ZrNiI2O (GGA+U, optimized geometry)
# Space group ... P4/mmm, No. 123
# E_tot ... -4.16 eV/atom
# N(E_F) ... 2.155 states/eV/atom
# Total moment ... 0.172 μB per cell
# Energy above the most stable polymorph in this dataset ... 0 meV per atom
data_ZrNiI2O
_chemical_formula_sum 'Zr1 Ni1 I2 O1'
_symmetry_space_group_name_H-M 'P 1'
_symmetry_Int_Tables_number 1
_symmetry_space_group_name_Hall 'P 1'
_cell_length_a 5.806
_cell_length_b 5.806
_cell_length_c 3.992
_cell_angle_alpha 90.00
_cell_angle_beta 90.00
_cell_angle_gamma 90.00
loop_
_atom_site_label
_atom_site_type_symbol
_atom_site_fract_x
_atom_site_fract_y
_atom_site_fract_z
Ni1 Ni 0.500 0.500 0.500
I1 I 0.500 0.000 0.000
I2 I 0.000 0.500 0.000
O1 O 0.000 0.000 0.500
Zr1 Zr 0.000 0.000 0.000

Which of these has the highest E_tot? number 3